1.
{
  "formula": "LiSmMnAl",
  "functional": "PBE",
  "state": "relaxed",
  "lattice_angstrom": [[0.000, 3.374, 3.374], [3.374, 0.000, 3.374], [3.374, 3.374, 0.000]],
  "species": ["Li", "Sm", "Mn", "Al"],
  "frac_coords": [[0.000, 0.000, 0.000], [0.250, 0.250, 0.250], [0.500, 0.500, 0.500], [0.750, 0.750, 0.750]],
  "n_ef_per_ev_atom": 0.892,
  "ef_kj_per_mol_atoms": -1.9
}

2.
{
  "formula": "LiTaMnAl",
  "functional": "PBE",
  "state": "relaxed",
  "lattice_angstrom": [[0.000, 3.015, 3.015], [3.015, 0.000, 3.015], [3.015, 3.015, 0.000]],
  "species": ["Li", "Ta", "Mn", "Al"],
  "frac_coords": [[0.000, 0.000, 0.000], [0.250, 0.250, 0.250], [0.500, 0.500, 0.500], [0.750, 0.750, 0.750]],
  "n_ef_per_ev_atom": 0.549,
  "ef_kj_per_mol_atoms": -3.4
}

3.
{
  "formula": "LiTbMnAl",
  "functional": "PBE",
  "state": "relaxed",
  "lattice_angstrom": [[0.000, 3.340, 3.340], [3.340, 0.000, 3.340], [3.340, 3.340, 0.000]],
  "species": ["Li", "Tb", "Mn", "Al"],
  "frac_coords": [[0.000, 0.000, 0.000], [0.750, 0.750, 0.750], [0.500, 0.500, 0.500], [0.250, 0.250, 0.250]],
  "n_ef_per_ev_atom": 0.851,
  "ef_kj_per_mol_atoms": -3.7
}

4.
{
  "formula": "LiMnAl2Te",
  "functional": "PBE",
  "state": "relaxed",
  "lattice_angstrom": [[5.457, 0.000, 0.000], [0.000, 5.457, 0.000], [0.000, 0.000, 4.771]],
  "species": ["Li", "Mn", "Al", "Al", "Te"],
  "frac_coords": [[0.000, 0.000, 0.000], [0.500, 0.500, 0.000], [0.000, 0.500, 0.500], [0.500, 0.000, 0.500], [0.000, 0.000, 0.500]],
  "n_ef_per_ev_atom": 0.714,
  "raw_formation_energy_ev_per_atom": 0.795
}

5.
{
  "formula": "LiTiMnAl",
  "functional": "PBE",
  "state": "relaxed",
  "lattice_angstrom": [[0.000, 3.023, 3.023], [3.023, 0.000, 3.023], [3.023, 3.023, 0.000]],
  "species": ["Li", "Ti", "Mn", "Al"],
  "frac_coords": [[0.000, 0.000, 0.000], [0.750, 0.750, 0.750], [0.500, 0.500, 0.500], [0.250, 0.250, 0.250]],
  "n_ef_per_ev_atom": 1.697,
  "ef_kj_per_mol_atoms": -3.8
}

6.
{
  "formula": "LiTmMnAl",
  "functional": "PBE",
  "state": "relaxed",
  "lattice_angstrom": [[0.000, 3.305, 3.305], [3.305, 0.000, 3.305], [3.305, 3.305, 0.000]],
  "species": ["Li", "Tm", "Mn", "Al"],
  "frac_coords": [[0.000, 0.000, 0.000], [0.250, 0.250, 0.250], [0.500, 0.500, 0.500], [0.750, 0.750, 0.750]],
  "n_ef_per_ev_atom": 0.768,
  "ef_kj_per_mol_atoms": -5.1
}